Material: KTlICl
Method: DFT, GGA-PBE
State: optimized geometry

Calculated values
final energy = -2.9705 eV/atom
distance to the lowest polymorph of the same formula = 0.00 kcal/mol of atoms
ΔE_f (raw) = -5.0 eV per formula unit
space-group type = R3m (160)

Cell: 8.652 8.652 8.652 Å, 31.46 31.46 31.46°
Positions (direct):
K 0.000 0.000 0.000
Tl 0.815 0.815 0.815
I 0.571 0.571 0.571
Cl 0.399 0.399 0.399